No. 1
PrEr6Se8: relaxed, PBE.

Calculated values
VASP energy in eV per atom: -5.790
Excess energy over the best structure of this formula in the dataset in eV/f.u.: 0.000
Uncorrected formation energy in eV per atom: -1.788
ρ in g/cm³: 7.92
Space group: Fm-3m

a = 8.0752 Å, b = 8.0752 Å, c = 8.0752 Å
α = 60.00°, β = 60.00°, γ = 60.00°
With the nearest neighbours (Å) after each atom.
Fractional positions:
Pr 0.0000 0.0000 0.0000  6 Se 3.00
Er 0.0000 0.5000 0.5000  6 Se 2.86
Er 0.5000 0.0000 0.0000  6 Se 2.86
Er 0.5000 0.5000 0.0000  6 Se 2.86
Er 0.0000 0.0000 0.5000  6 Se 2.86
Er 0.0000 0.5000 0.0000  6 Se 2.86
Er 0.5000 0.0000 0.5000  6 Se 2.86
Se 0.7500 0.7500 0.7500  6 Er 2.86
Se 0.2500 0.2500 0.2500  6 Er 2.86
Se 0.7372 0.2628 0.2628  4 Er 2.86, 1 Pr 3.00
Se 0.2628 0.7372 0.7372  4 Er 2.86, 1 Pr 3.00
Se 0.2628 0.2628 0.7372  4 Er 2.86, 1 Pr 3.00
Se 0.7372 0.7372 0.2628  4 Er 2.86, 1 Pr 3.00
Se 0.7372 0.2628 0.7372  4 Er 2.86, 1 Pr 3.00
Se 0.2628 0.7372 0.2628  4 Er 2.86, 1 Pr 3.00

***

No. 2
Pr3Er5Se12: relaxed, PBE.

Calculated values
VASP energy in eV per atom: -5.676
Uncorrected formation energy in eV per atom: -1.728
ρ in g/cm³: 5.99
Space group: Ia-3d

a = 14.7025 Å, b = 14.7025 Å, c = 14.7025 Å
α = 109.47°, β = 109.47°, γ = 109.47°
With the nearest neighbours (Å) after each atom.
Fractional positions:
Pr 0.7500 0.3750 0.1250  8 Se 3.16-3.23
Pr 0.8750 0.7500 0.1250  8 Se 3.16-3.23
Pr 0.3750 0.7500 0.6250  8 Se 3.16-3.23
Pr 0.2500 0.1250 0.3750  8 Se 3.16-3.23
Pr 0.8750 0.1250 0.2500  8 Se 3.16-3.23
Pr 0.3750 0.6250 0.2500  8 Se 3.16-3.23
Pr 0.6250 0.3750 0.7500  8 Se 3.16-3.23
Pr 0.1250 0.8750 0.7500  8 Se 3.16-3.23
Pr 0.7500 0.8750 0.6250  8 Se 3.16-3.23
Pr 0.6250 0.2500 0.3750  8 Se 3.16-3.23
Pr 0.1250 0.2500 0.8750  8 Se 3.16-3.23
Pr 0.2500 0.6250 0.8750  8 Se 3.16-3.23
Se 0.7190 0.1285 0.0442  2 Er 2.66-2.84
Se 0.3253 0.5442 0.4158  2 Er 2.66-2.84
Se 0.9558 0.3715 0.2810  2 Er 2.66-2.84
Se 0.5442 0.2190 0.1285  2 Er 2.66-2.84
Se 0.5905 0.7190 0.6747  2 Er 2.66-2.84
Se 0.9558 0.5842 0.1747  2 Er 2.66-2.84
Se 0.3253 0.7810 0.4095  2 Er 2.66-2.84
Se 0.0842 0.9095 0.1285  2 Er 2.66-2.84
Se 0.5842 0.9558 0.6747  2 Er 2.66-2.84
Se 0.7190 0.5905 0.1747  2 Er 2.66-2.84
Se 0.7810 0.4558 0.3715  2 Er 2.66-2.84
Se 0.8253 0.9158 0.0442  2 Er 2.66-2.84
Se 0.1285 0.7190 0.5442  2 Er 2.66-2.84
Se 0.3715 0.4158 0.0905  2 Er 2.66-2.84
Se 0.0905 0.9158 0.3715  2 Er 2.66-2.84
Se 0.4095 0.1285 0.5842  2 Er 2.66-2.84
Se 0.0905 0.1747 0.2190  2 Er 2.66-2.84
Se 0.4558 0.6747 0.0842  2 Er 2.66-2.84
Se 0.8253 0.9095 0.2810  2 Er 2.66-2.84
Se 0.1285 0.4095 0.0842  2 Er 2.66-2.84
Se 0.3715 0.9558 0.7810  2 Er 2.66-2.84
Se 0.5842 0.6285 0.4095  2 Er 2.66-2.84
Se 0.9158 0.8253 0.5442  2 Er 2.66-2.84
Se 0.7810 0.3253 0.9095  2 Er 2.66-2.84
Se 0.4158 0.3715 0.5905  2 Er 2.66-2.84
Se 0.0842 0.1747 0.4558  2 Er 2.66-2.84
Se 0.2190 0.6747 0.0905  2 Er 2.66-2.84
Se 0.1747 0.0905 0.7190  2 Er 2.66-2.84
Se 0.6285 0.0442 0.2190  2 Er 2.66-2.84
Se 0.8715 0.5905 0.9158  2 Er 2.66-2.84
Se 0.5442 0.3253 0.9158  2 Er 2.66-2.84
Se 0.5905 0.8715 0.4158  2 Er 2.66-2.84
Se 0.9095 0.8253 0.7810  2 Er 2.66-2.84
Se 0.9095 0.0842 0.6285  2 Er 2.66-2.84
Se 0.8715 0.2810 0.4558  2 Er 2.66-2.84
Se 0.1747 0.0842 0.9558  2 Er 2.66-2.84
Se 0.6285 0.5842 0.9095  2 Er 2.66-2.84
Se 0.4158 0.0442 0.3253  2 Er 2.66-2.84
Se 0.2810 0.4095 0.8253  2 Er 2.66-2.84
Se 0.2190 0.5442 0.6285  2 Er 2.66-2.84
Se 0.9158 0.0905 0.8715  2 Er 2.66-2.84
Se 0.6747 0.2190 0.5905  2 Er 2.66-2.84
Se 0.4558 0.7810 0.8715  2 Er 2.66-2.84
Se 0.0442 0.4158 0.8253  2 Er 2.66-2.84
Se 0.4095 0.2810 0.3253  2 Er 2.66-2.84
Se 0.0442 0.6285 0.7190  2 Er 2.66-2.84
Se 0.6747 0.4558 0.5842  2 Er 2.66-2.84
Se 0.2810 0.8715 0.9558  2 Er 2.66-2.84
Er 0.1250 0.3750 0.2500  4 Se 2.66
Er 0.0000 0.5000 0.0000  6 Se 2.84
Er 0.0000 0.0000 0.0000  6 Se 2.84
Er 0.3750 0.2500 0.1250  4 Se 2.66
Er 0.5000 0.0000 0.5000  6 Se 2.84
Er 0.5000 0.5000 0.0000  6 Se 2.84
Er 0.1250 0.7500 0.3750  4 Se 2.66
Er 0.7500 0.1250 0.8750  4 Se 2.66
Er 0.7500 0.6250 0.3750  4 Se 2.66
Er 0.3750 0.1250 0.7500  4 Se 2.66
Er 0.6250 0.8750 0.2500  4 Se 2.66
Er 0.5000 0.5000 0.5000  6 Se 2.84
Er 0.5000 0.0000 0.0000  6 Se 2.84
Er 0.0000 0.0000 0.5000  6 Se 2.84
Er 0.2500 0.3750 0.6250  4 Se 2.66
Er 0.2500 0.8750 0.1250  4 Se 2.66
Er 0.0000 0.5000 0.5000  6 Se 2.84
Er 0.8750 0.2500 0.6250  4 Se 2.66
Er 0.6250 0.7500 0.8750  4 Se 2.66
Er 0.8750 0.6250 0.7500  4 Se 2.66

***

No. 3
Pr3Er5Se8: relaxed, PBE.

Calculated values
VASP energy in eV per atom: -5.811
Uncorrected formation energy in eV per atom: -1.747
ρ in g/cm³: 7.90
Space group: R-3m

a = 8.1589 Å, b = 8.1589 Å, c = 8.3508 Å
α = 60.76°, β = 60.76°, γ = 60.00°
With the nearest neighbours (Å) after each atom.
Fractional positions:
Pr 0.5000 0.0000 0.5000  6 Se 3.00-3.01
Pr 0.0000 0.0000 0.5000  6 Se 3.00-3.01
Pr 0.0000 0.5000 0.5000  6 Se 3.00-3.01
Er 0.5000 0.0000 0.0000  6 Se 2.83-2.84
Er 0.5000 0.5000 0.0000  6 Se 2.83-2.84
Er 0.0000 0.0000 0.0000  6 Se 2.91
Er 0.0000 0.5000 0.0000  6 Se 2.83-2.84
Er 0.5000 0.5000 0.5000  6 Se 2.93
Se 0.2495 0.2495 0.7647  4 Er 2.84-2.93, 2 Pr 3.00
Se 0.2495 0.7364 0.7647  4 Er 2.84-2.93, 2 Pr 3.00
Se 0.7364 0.2495 0.7647  4 Er 2.84-2.93, 2 Pr 3.00
Se 0.7428 0.7428 0.7715  3 Er 2.83, 3 Pr 3.01
Se 0.7505 0.7505 0.2353  4 Er 2.84-2.93, 2 Pr 3.00
Se 0.7505 0.2636 0.2353  4 Er 2.84-2.93, 2 Pr 3.00
Se 0.2636 0.7505 0.2353  4 Er 2.84-2.93, 2 Pr 3.00
Se 0.2572 0.2572 0.2285  3 Er 2.83, 3 Pr 3.01

***

No. 4
PrEr3Se6: relaxed, PBE.

Calculated values
VASP energy in eV per atom: -5.822
Uncorrected formation energy in eV per atom: -1.885
ρ in g/cm³: 6.92
Space group: P2_1/m

a = 4.1286 Å, b = 11.5766 Å, c = 11.8633 Å
α = 109.15°, β = 90.00°, γ = 90.00°
With the nearest neighbours (Å) after each atom.
Fractional positions:
Pr 0.7500 0.0482 0.6964  8 Se 3.04-3.17
Pr 0.2500 0.9518 0.3036  8 Se 3.04-3.17
Er 0.7500 0.4400 0.8338  6 Se 2.80-2.89
Er 0.2500 0.5600 0.1662  6 Se 2.80-2.89
Er 0.7500 0.6806 0.5001  7 Se 2.81-3.04
Er 0.2500 0.3194 0.4999  7 Se 2.81-3.04
Er 0.7500 0.1593 0.0864  6 Se 2.77-2.89
Er 0.2500 0.8407 0.9136  6 Se 2.77-2.89
Se 0.7500 0.4800 0.6138  4 Er 2.80-3.04
Se 0.2500 0.5200 0.3862  4 Er 2.80-3.04
Se 0.7500 0.9166 0.0932  3 Er 2.84-2.89, 2 Pr 3.16
Se 0.2500 0.0834 0.9068  3 Er 2.84-2.89, 2 Pr 3.16
Se 0.7500 0.3929 0.0584  4 Er 2.83-2.89
Se 0.2500 0.6071 0.9416  4 Er 2.83-2.89
Se 0.7500 0.7363 0.2726  3 Er 2.89-2.97, 2 Pr 3.17
Se 0.2500 0.2637 0.7274  3 Er 2.89-2.97, 2 Pr 3.17
Se 0.7500 0.1188 0.4656  2 Er 3.03, 3 Pr 3.04-3.10
Se 0.2500 0.8812 0.5344  2 Er 3.03, 3 Pr 3.04-3.10
Se 0.7500 0.8019 0.7499  3 Er 2.77-2.83
Se 0.2500 0.1981 0.2501  3 Er 2.77-2.83

***

No. 5
Pr3Er4Se8: relaxed, PBE.

Calculated values
VASP energy in eV per atom: -5.843
Uncorrected formation energy in eV per atom: -1.812
ρ in g/cm³: 7.14
Space group: C2/m

a = 8.2399 Å, b = 8.2743 Å, c = 8.2743 Å
α = 90.05°, β = 119.80°, γ = 119.80°
With the nearest neighbours (Å) after each atom.
Fractional positions:
Pr 0.5000 0.5000 0.0000  6 Se 2.93
Pr 0.5000 0.0000 0.5000  6 Se 2.93
Pr 0.5000 0.5000 0.5000  6 Se 3.00
Er 0.5000 0.0000 0.0000  6 Se 2.85-2.86
Er 0.0000 0.5000 0.0000  6 Se 2.92-2.93
Er 0.0000 0.0000 0.0000  6 Se 2.89-2.91
Er 0.0000 0.0000 0.5000  6 Se 2.92-2.93
Se 0.4938 0.2403 0.2403  2 Er 2.85-2.89, 3 Pr 2.93-3.00
Se 0.0000 0.7522 0.2478  3 Er 2.90-2.92, 2 Pr 2.93
Se 0.9874 0.2423 0.2423  4 Er 2.86-2.93, 1 Pr 3.00
Se 0.5000 0.7565 0.2435  3 Er 2.85-2.93, 3 Pr 2.93-3.00
Se 0.5000 0.2435 0.7565  3 Er 2.85-2.93, 3 Pr 2.93-3.00
Se 0.0126 0.7577 0.7577  4 Er 2.86-2.93, 1 Pr 3.00
Se 0.0000 0.2478 0.7522  3 Er 2.90-2.92, 2 Pr 2.93
Se 0.5062 0.7597 0.7597  2 Er 2.85-2.89, 3 Pr 2.93-3.00

***

No. 6
Pr4ErSe7: relaxed, PBE.

Calculated values
VASP energy in eV per atom: -5.885
Uncorrected formation energy in eV per atom: -1.879
ρ in g/cm³: 6.21
Space group: Cm

a = 4.1087 Å, b = 7.2212 Å, c = 12.5020 Å
α = 104.42°, β = 90.00°, γ = 106.53°
With the nearest neighbours (Å) after each atom.
Fractional positions:
Pr 0.6986 0.3972 0.8064  7 Se 3.00-3.23
Pr 0.3014 0.6028 0.1933  7 Se 2.98-3.22
Pr 0.9991 0.9983 0.9964  6 Se 2.92-2.98
Pr 0.1120 0.2240 0.4263  6 Se 2.91-3.04
Er 0.8867 0.7733 0.5767  6 Se 2.80-2.93
Se 0.7442 0.4883 0.3580  1 Er 2.93, 4 Pr 3.02-3.15
Se 0.2691 0.5383 0.6478  2 Er 2.90, 3 Pr 3.04-3.18
Se 0.3373 0.6746 0.9487  5 Pr 2.98-3.22
Se 0.6608 0.3216 0.0505  5 Pr 2.98-3.23
Se 0.0362 0.0725 0.7762  1 Er 2.80, 3 Pr 2.93-3.00
Se 0.9612 0.9224 0.2155  4 Pr 2.91-2.98
Se 0.4934 0.9868 0.5042  2 Er 2.81, 2 Pr 2.95

***

No. 7
PrEr2Se3: relaxed, PBE.

Calculated values
VASP energy in eV per atom: -5.796
Uncorrected formation energy in eV per atom: -1.737
ρ in g/cm³: 7.99
Space group: Immm

a = 4.0854 Å, b = 5.8230 Å, c = 7.1701 Å
α = 113.96°, β = 106.55°, γ = 90.00°
With the nearest neighbours (Å) after each atom.
Fractional positions:
Pr 0.0000 0.5000 0.0000  6 Se 2.91-3.03
Er 0.6586 0.1586 0.3172  6 Se 2.84-2.92
Er 0.3414 0.8414 0.6828  6 Se 2.84-2.92
Se 0.3200 0.3200 0.6401  4 Er 2.87-2.92, 2 Pr 3.03
Se 0.0000 0.0000 0.0000  4 Er 2.84, 2 Pr 2.91
Se 0.6800 0.6800 0.3599  4 Er 2.87-2.92, 2 Pr 3.03

***

No. 8
Pr4Er3Se8: relaxed, PBE.

Calculated values
VASP energy in eV per atom: -5.666
Excess energy over the best structure of this formula in the dataset in eV/f.u.: 2.878
Uncorrected formation energy in eV per atom: -1.620
ρ in g/cm³: 6.36
Space group: R-3m

a = 8.1389 Å, b = 8.1389 Å, c = 9.0445 Å
α = 63.26°, β = 63.26°, γ = 60.00°
With the nearest neighbours (Å) after each atom.
Fractional positions:
Pr 0.0000 0.0000 0.0000  6 Se 3.07
Pr 0.3534 0.3534 0.9399  4 Se 2.86-2.91
Pr 0.5000 0.5000 0.5000  6 Se 3.02
Pr 0.6466 0.6466 0.0601  4 Se 2.86-2.91
Er 0.5000 0.0000 0.5000  6 Se 2.77-2.93
Er 0.0000 0.0000 0.5000  6 Se 2.77-2.93
Er 0.0000 0.5000 0.5000  6 Se 2.77-2.93
Se 0.2298 0.2298 0.3105  3 Er 2.77, 1 Pr 2.86
Se 0.2325 0.7499 0.2676  3 Pr 2.91-3.07, 2 Er 2.93
Se 0.7499 0.7499 0.2676  3 Pr 2.91-3.07, 2 Er 2.93
Se 0.7499 0.2325 0.2676  3 Pr 2.91-3.07, 2 Er 2.93
Se 0.7702 0.7702 0.6895  3 Er 2.77, 1 Pr 2.86
Se 0.7675 0.2501 0.7324  3 Pr 2.91-3.07, 2 Er 2.93
Se 0.2501 0.2501 0.7324  3 Pr 2.91-3.07, 2 Er 2.93
Se 0.2501 0.7675 0.7324  3 Pr 2.91-3.07, 2 Er 2.93

***

No. 9
Pr4Er3Se8: relaxed, PBE.

Calculated values
VASP energy in eV per atom: -5.857
Excess energy over the best structure of this formula in the dataset in eV/f.u.: 0.000
Uncorrected formation energy in eV per atom: -1.812
ρ in g/cm³: 6.97
Space group: C2/m

a = 8.3097 Å, b = 8.3052 Å, c = 8.3052 Å
α = 89.94°, β = 120.08°, γ = 120.08°
With the nearest neighbours (Å) after each atom.
Fractional positions:
Pr 0.5000 0.0000 0.0000  6 Se 3.01
Pr 0.0000 0.5000 0.0000  6 Se 2.93-2.94
Pr 0.0000 0.0000 0.0000  6 Se 3.02-3.03
Pr 0.0000 0.0000 0.5000  6 Se 2.93-2.94
Er 0.5000 0.5000 0.0000  6 Se 2.93-2.94
Er 0.5000 0.0000 0.5000  6 Se 2.93-2.94
Er 0.5000 0.5000 0.5000  6 Se 2.85-2.86
Se 0.5158 0.2643 0.2643  3 Er 2.86-2.94, 2 Pr 3.01-3.03
Se 0.0000 0.7422 0.2578  2 Er 2.93, 3 Pr 2.94-3.03
Se 0.0136 0.2640 0.2640  1 Er 2.85, 4 Pr 2.94-3.02
Se 0.5000 0.7435 0.2565  3 Er 2.86-2.94, 3 Pr 2.93-3.01
Se 0.5000 0.2565 0.7435  3 Er 2.86-2.94, 3 Pr 2.93-3.01
Se 0.9864 0.7360 0.7360  1 Er 2.85, 4 Pr 2.94-3.02
Se 0.0000 0.2578 0.7422  2 Er 2.93, 3 Pr 2.94-3.03
Se 0.4842 0.7357 0.7357  3 Er 2.86-2.94, 2 Pr 3.01-3.03

***

No. 10
PrEr3Se4: relaxed, PBE.

Calculated values
VASP energy in eV per atom: -5.774
Uncorrected formation energy in eV per atom: -1.723
ρ in g/cm³: 8.18
Space group: Cmmm

a = 4.0243 Å, b = 7.1401 Å, c = 7.1401 Å
α = 108.54°, β = 90.00°, γ = 90.00°
With the nearest neighbours (Å) after each atom.
Fractional positions:
Pr 0.5000 0.0000 0.0000  6 Se 2.98
Er 0.0000 0.0000 0.5000  6 Se 2.90
Er 0.5000 0.5000 0.5000  6 Se 2.82
Er 0.0000 0.5000 0.0000  6 Se 2.90
Se 0.0000 0.2636 0.2636  4 Er 2.82-2.90, 2 Pr 2.98
Se 0.5000 0.7433 0.2567  5 Er 2.82-2.90, 1 Pr 2.98
Se 0.0000 0.7364 0.7364  4 Er 2.82-2.90, 2 Pr 2.98
Se 0.5000 0.2567 0.7433  5 Er 2.82-2.90, 1 Pr 2.98

***

No. 11
PrErSe3: relaxed, PBE.

Calculated values
VASP energy in eV per atom: -5.833
Excess energy over the best structure of this formula in the dataset in eV/f.u.: 0.046
Uncorrected formation energy in eV per atom: -1.874
ρ in g/cm³: 6.50
Space group: P2_1/m

a = 4.1270 Å, b = 8.1484 Å, c = 8.3084 Å
α = 95.13°, β = 90.00°, γ = 90.00°
With the nearest neighbours (Å) after each atom.
Fractional positions:
Pr 0.2500 0.3772 0.2276  8 Se 2.97-3.22
Pr 0.7500 0.6228 0.7724  8 Se 2.97-3.22
Er 0.2500 0.8527 0.3280  6 Se 2.73-2.91
Er 0.7500 0.1473 0.6720  6 Se 2.73-2.91
Se 0.7500 0.6259 0.3902  2 Er 2.85, 3 Pr 3.11-3.18
Se 0.2500 0.3741 0.6098  2 Er 2.85, 3 Pr 3.11-3.18
Se 0.7500 0.3126 0.9726  1 Er 2.73, 2 Pr 2.97
Se 0.2500 0.9028 0.6796  3 Er 2.87-2.91
Se 0.2500 0.6874 0.0274  1 Er 2.73, 2 Pr 2.97
Se 0.7500 0.0972 0.3204  3 Er 2.87-2.91

***

No. 12
Pr4ErSe5: relaxed, PBE.

Calculated values
VASP energy in eV per atom: -5.913
Uncorrected formation energy in eV per atom: -1.803
ρ in g/cm³: 7.01
Space group: I4/mmm

a = 4.2148 Å, b = 4.2148 Å, c = 15.3025 Å
α = 97.92°, β = 97.92°, γ = 90.00°
With the nearest neighbours (Å) after each atom.
Fractional positions:
Pr 0.3979 0.3979 0.7959  6 Se 2.99-3.06
Pr 0.8057 0.8057 0.6114  6 Se 2.99-3.08
Pr 0.1943 0.1943 0.3886  6 Se 2.99-3.08
Pr 0.6021 0.6021 0.2041  6 Se 2.99-3.06
Er 0.0000 0.0000 0.0000  6 Se 2.83-2.98
Se 0.0942 0.0942 0.1884  1 Er 2.83, 5 Pr 2.99-3.00
Se 0.5000 0.5000 0.0000  4 Er 2.98, 2 Pr 3.06
Se 0.9058 0.9058 0.8116  1 Er 2.83, 5 Pr 2.99-3.00
Se 0.2969 0.2969 0.5937  6 Pr 2.99-3.08
Se 0.7031 0.7031 0.4063  6 Pr 2.99-3.08

***

Look up the VASP energy of the eleventh one.
-5.833 eV per atom

***

What is the formula in the tenth record?
PrEr3Se4